Cu3Rh: optimized geometry, PBEsol.

Calculated values
M_tot   0.012 μB/f.u.
Final energy   -5.227 eV per atom

abc: 4.9071 4.9071 4.4200
angles: 116.51 116.51 30.58
Closest atoms and distances in Å follow each position.
Fractional positions:
Cu  0.0000  0.0000  0.0000  9 Cu 2.55-2.61, 3 Rh 2.57
Cu  0.2526  0.2526  0.5950  8 Cu 2.54-2.61, 4 Rh 2.55-2.57
Cu  0.5048  0.5048  0.5050  9 Cu 2.54-2.60, 3 Rh 2.58
Rh  0.7524  0.7524  0.0980  10 Cu 2.55-2.58, 2 Rh 2.59

=====

Cu3Rh: optimized geometry, PBEsol.

Calculated values
M_tot   0.000 μB/f.u.
Final energy   -5.259 eV per atom

abc: 4.4746 8.4070 5.0924
angles: 90.00 90.00 90.00
Closest atoms and distances in Å follow each position.
Fractional positions:
Cu  0.0774  0.2500  0.1304  8 Cu 2.53-2.61, 4 Rh 2.54-2.62
Cu  0.2482  0.5034  0.8754  9 Cu 2.53-2.61, 3 Rh 2.57-2.59
Cu  0.2482  0.9966  0.8754  9 Cu 2.53-2.61, 3 Rh 2.57-2.59
Cu  0.2518  0.0034  0.3754  9 Cu 2.53-2.61, 3 Rh 2.57-2.59
Cu  0.2518  0.4966  0.3754  9 Cu 2.53-2.61, 3 Rh 2.57-2.59
Cu  0.4226  0.7500  0.6304  8 Cu 2.53-2.61, 4 Rh 2.54-2.62
Cu  0.5774  0.2500  0.3696  8 Cu 2.53-2.61, 4 Rh 2.54-2.62
Cu  0.7482  0.5034  0.6246  9 Cu 2.53-2.61, 3 Rh 2.57-2.59
Cu  0.7482  0.9966  0.6246  9 Cu 2.53-2.61, 3 Rh 2.57-2.59
Cu  0.7518  0.0034  0.1246  9 Cu 2.53-2.61, 3 Rh 2.57-2.59
Cu  0.7518  0.4966  0.1246  9 Cu 2.53-2.61, 3 Rh 2.57-2.59
Cu  0.9226  0.7500  0.8696  8 Cu 2.53-2.61, 4 Rh 2.54-2.62
Rh  0.0730  0.2500  0.6298  10 Cu 2.54-2.62, 2 Rh 2.55
Rh  0.4270  0.7500  0.1298  10 Cu 2.54-2.62, 2 Rh 2.55
Rh  0.5730  0.2500  0.8702  10 Cu 2.54-2.62, 2 Rh 2.55
Rh  0.9270  0.7500  0.3702  10 Cu 2.54-2.62, 2 Rh 2.55

=====

Cu2Rh: optimized geometry, PBEsol.

Calculated values
M_tot   0.012 μB/f.u.
Final energy   -5.464 eV per atom
Offset from the most stable computed form   92 meV/atom

abc: 4.1298 4.1298 2.4880
angles: 90.00 90.00 120.00
Closest atoms and distances in Å follow each position.
Fractional positions:
Cu  0.3333  0.6667  0.0000  5 Cu 2.38-2.49
Cu  0.6667  0.3333  0.0000  5 Cu 2.38-2.49
Rh  0.0000  0.0000  0.5000  2 Rh 2.49, 12 Cu 2.69

=====

Cu5Rh: optimized geometry, PBEsol.

Calculated values
M_tot   0.143 μB/f.u.
Final energy   -4.922 eV per atom

abc: 4.9050 4.9050 6.0577
angles: 105.35 105.35 30.26
Closest atoms and distances in Å follow each position.
Fractional positions:
Cu  0.0000  0.0000  0.0000  10 Cu 2.50-2.61, 2 Rh 2.58
Cu  0.0522  0.0522  0.6166  10 Cu 2.49-2.56, 2 Rh 2.58
Cu  0.3302  0.3302  0.6734  11 Cu 2.52-2.56, 1 Rh 2.59
Cu  0.6621  0.6621  0.3401  9 Cu 2.55-2.62, 3 Rh 2.57
Cu  0.7160  0.7160  0.9388  10 Cu 2.49-2.62, 2 Rh 2.56
Rh  0.3828  0.3828  0.2757  10 Cu 2.56-2.59, 2 Rh 2.56

=====

CuRh4: optimized geometry, PBEsol.

Calculated values
M_tot   0.000 μB/f.u.
Final energy   -7.330 eV per atom

abc: 4.5888 4.5888 4.5888
angles: 99.55 99.55 131.91
Closest atoms and distances in Å follow each position.
Fractional positions:
Cu  0.0000  0.0000  0.0000  12 Rh 2.64-2.65
Rh  0.1993  0.3980  0.5974  9 Rh 2.63-2.66, 3 Cu 2.64-2.65
Rh  0.3980  0.8007  0.1987  9 Rh 2.63-2.66, 3 Cu 2.64-2.65
Rh  0.6020  0.1993  0.8013  9 Rh 2.63-2.66, 3 Cu 2.64-2.65
Rh  0.8007  0.6020  0.4026  9 Rh 2.63-2.66, 3 Cu 2.64-2.65

=====

Cu7Rh: optimized geometry, PBEsol.

Calculated values
M_tot   0.000 μB/f.u.
Final energy   -4.796 eV per atom

abc: 5.0879 5.0879 5.0879
angles: 60.00 60.00 60.00
Closest atoms and distances in Å follow each position.
Fractional positions:
Cu  0.0000  0.0000  0.0000  12 Cu 2.54
Cu  0.0000  0.0000  0.5000  2 Rh 2.54, 10 Cu 2.54
Cu  0.0000  0.5000  0.0000  2 Rh 2.54, 10 Cu 2.54
Cu  0.0000  0.5000  0.5000  10 Cu 2.54, 2 Rh 2.54
Cu  0.5000  0.0000  0.0000  2 Rh 2.54, 10 Cu 2.54
Cu  0.5000  0.0000  0.5000  10 Cu 2.54, 2 Rh 2.54
Cu  0.5000  0.5000  0.0000  10 Cu 2.54, 2 Rh 2.54
Rh  0.5000  0.5000  0.5000  12 Cu 2.54

=====

Number 1: energy relative to the elements 58 meV per atom. Number 2: energy relative to the elements 26 meV per atom. Number 3: energy relative to the elements 138 meV per atom. Number 4: energy relative to the elements 46 meV per atom. Number 5: energy relative to the elements 48 meV per atom. Number 6: energy relative to the elements 14 meV per atom.